Computed, not measured: an optimized crystal structure of Sn2BiAu2 at the GGA-PBE level of DFT.

The calculation puts the density of states at the Fermi level at 0.452 states/eV per atom. The energy relative to the elements comes out at 0.047 eV per atom.

The structure belongs to space group P4/mbm (No. 127); the cell edges are 8.5410, 8.5410 and 3.4044 Å and the angles 90.00°, 90.00° and 90.00°. The distinct sites, in fractional coordinates, are Sn at (0.1791, 0.3209, 0.0000), Bi at (0.0000, 0.0000, 0.0000) and Au at (0.1190, 0.6190, 0.5000).